Entry from Alexandria: a relaxed Pm4Er5Mg2 crystal (PBE).

Unit cell a=3.448 b=8.694 c=11.446 alpha=93.95 beta=90.00 gamma=90.00
Positions (direct):
Pm 0.500 0.708 0.550
Pm 0.500 0.292 0.450
Pm 0.500 0.852 0.112
Pm 0.500 0.148 0.888
Er 0.000 0.426 0.709
Er 0.000 0.574 0.291
Er 0.000 0.205 0.169
Er 0.000 0.795 0.831
Er 0.000 0.500 0.000
Mg 0.000 0.052 0.631
Mg 0.000 0.948 0.369

Properties
- Volume: 342.3 Å³ per cell
- Mass density: 7.106 g cm⁻³
- Energy relative to the elements: 0.91 eV per formula unit
- Total moment: 0.01 Bohr magnetons per cell
- Space group: No. 10
- ΔE to the lowest computed polymorph: 0.00 eV per formula unit
- Uncorrected energy: -4.01 eV/atom